Entry 1:
This record from OQMD describes a relaxed structure of Li2Mg2Ga2CuIr. The functional is GGA-PBE.

Cell and atoms, written as POSCAR:
```
Li2Mg2Ga2CuIr
1.0
-0.5585 -4.1666 -1.2060
2.2665 -1.3170 3.5007
-5.1980 -0.2501 3.2713
Cu Ga Ir Li Mg
1 2 1 2 2
Cartesian
0.0000 0.0000 0.0000 Cu
-0.2034 -0.7228 2.5916 Ga
-4.1406 -2.2691 1.8271 Ga
-1.7450 -2.8669 2.7830 Ir
0.8540 -2.7418 1.1474 Li
-2.5990 -0.1251 1.6357 Li
-1.5727 -2.1456 0.2111 Mg
-2.7712 -0.8464 4.2076 Mg
```

Summary:
uncorrected energy	-3.552	eV per atom



Entry 2:
This record from OQMD describes a relaxed structure of LuGaCuIr. The functional is GGA-PBE.

Cell and atoms, written as POSCAR:
```
LuGaCuIr
1.0
0.0000 3.1999 3.1999
3.1999 0.0000 3.1999
3.1999 3.1999 0.0000
Cu Ga Ir Lu
1 1 1 1
Cartesian
4.7998 4.7998 4.7998 Cu
0.0000 0.0000 0.0000 Ga
1.5999 1.5999 1.5999 Ir
3.1999 3.1999 3.1999 Lu
```

Summary:
polymorph energy (0 for the lowest one)	0	meV/atom



Entry 3:
This record from OQMD describes a relaxed structure of LuGaCuIr. The functional is GGA-PBE.

Cell and atoms, written as POSCAR:
```
LuGaCuIr
1.0
2.1953 -2.3161 3.2837
-2.3614 -2.6016 2.9362
0.3034 -4.5631 -0.2288
Cu Ga Ir Lu
1 1 1 1
Cartesian
0.1030 -7.1106 4.4933 Cu
0.0000 0.0000 0.0000 Ga
0.0687 -4.7404 2.9955 Ir
0.0343 -2.3702 1.4978 Lu
```

Summary:
polymorph energy (0 for the lowest one)	224	meV/atom



Entry 4:
This record from OQMD describes a relaxed structure of MgGaCuIr. The functional is GGA-PBE.

Cell and atoms, written as POSCAR:
```
MgGaCuIr
1.0
0.0000 3.0670 3.0670
3.0670 0.0000 3.0670
3.0670 3.0670 0.0000
Cu Ga Ir Mg
1 1 1 1
Cartesian
4.6006 4.6006 4.6006 Cu
0.0000 0.0000 0.0000 Ga
1.5335 1.5335 1.5335 Ir
3.0670 3.0670 3.0670 Mg
```

Summary:
polymorph energy (0 for the lowest one)	0	meV/atom